Here is crystalline SrAlPt2 at its relaxed geometry from Alexandria. Energies are from PBE.

Cell and atoms, written as CIF:
```
data_SrAlPt2
_chemical_formula_sum 'Sr1 Al1 Pt2'
_symmetry_space_group_name_H-M 'P 4 m m'
_symmetry_Int_Tables_number 99
_cell_length_a 3.5610
_cell_length_b 3.5610
_cell_length_c 6.6013
_cell_angle_alpha 90.00
_cell_angle_beta 90.00
_cell_angle_gamma 90.00
loop_
_symmetry_equiv_pos_as_xyz
'x,y,z'
'-y,x,z'
'-x,-y,z'
'y,-x,z'
'-x,y,z'
'y,x,z'
'x,-y,z'
'-y,-x,z'
loop_
_atom_site_label
_atom_site_type_symbol
_atom_site_fract_x
_atom_site_fract_y
_atom_site_fract_z
Sr1 Sr 0.0000 0.0000 0.0000
Al1 Al 0.5000 0.5000 0.3746
Pt1 Pt 0.0000 0.0000 0.4791
Pt2 Pt 0.5000 0.5000 0.7428
```

Summary:
**Electronic total energy**: -4.8734 eV/atom
**Calculated formation energy**: -0.497 eV/atom